# 1
A plane-wave DFT calculation with PBE was carried out for SrTlIn2Ir after structural relaxation.

Cell: 5.210 5.314 5.210 Å, 90.00 90.00 90.00°
Fractional coordinates of all 5 atoms:
1 Sr 0.500 0.500 0.500
2 Tl 0.000 0.500 0.000
3 Ir 0.000 0.000 0.000
4 In 0.000 0.000 0.500
5 In 0.500 0.000 0.000

Properties
ΔE to the lowest computed polymorph   48.7 meV per atom
Mass density   8.22 Mg/m³

# 2
A plane-wave DFT calculation with PBE was carried out for SrTlIn2Ir after structural relaxation.

Cell: 5.211 5.211 5.775 Å, 90.00 90.00 90.00°
Fractional coordinates of all 5 atoms:
1 Sr 0.000 0.000 0.500
2 Tl 0.500 0.500 0.500
3 Ir 0.000 0.000 0.000
4 In 0.000 0.500 0.000
5 In 0.500 0.000 0.000

Properties
ΔE to the lowest computed polymorph   0.0 meV per atom
Mass density   7.56 Mg/m³

# 3
A plane-wave DFT calculation with PBE was carried out for SrVInIr2 after structural relaxation.

Cell: 4.688 5.101 4.688 Å, 90.00 90.00 90.00°
Fractional coordinates of all 5 atoms:
1 Sr 0.500 0.500 0.500
2 V 0.000 0.000 0.000
3 Ir 0.000 0.000 0.500
4 Ir 0.500 0.000 0.000
5 In 0.000 0.500 0.000

Properties
E   -5.942 eV/atom
Mass density   9.45 Mg/m³

# 4
A plane-wave DFT calculation with PBE was carried out for SrZnIn2Ir2 after structural relaxation.

Cell: 4.744 4.744 6.062 Å, 90.00 90.00 90.00°
Fractional coordinates of all 6 atoms:
1 Sr 0.000 0.000 0.500
2 Zn 0.000 0.000 0.000
3 In 0.500 0.500 0.743
4 In 0.500 0.500 0.257
5 Ir 0.500 0.000 0.000
6 Ir 0.000 0.500 0.000

Properties
E   -4.467 eV/atom
Mass density   9.33 Mg/m³

# 5
A plane-wave DFT calculation with PBE was carried out for SrZn2InIr after structural relaxation.

Cell: 4.936 4.936 5.095 Å, 90.00 90.00 90.00°
Fractional coordinates of all 5 atoms:
1 Sr 0.500 0.500 0.500
2 Zn 0.000 0.500 0.000
3 Zn 0.500 0.000 0.000
4 Ir 0.000 0.000 0.000
5 In 0.000 0.000 0.500

Properties
E   -3.426 eV/atom
Mass density   7.03 Mg/m³

# 6
A plane-wave DFT calculation with PBE was carried out for TaInIr3 after structural relaxation.

Cell: 4.808 4.808 4.808 Å, 90.00 90.00 90.00°
Fractional coordinates of all 5 atoms:
1 Ir 0.000 0.500 0.000
2 Ir 0.000 0.000 0.500
3 Ir 0.500 0.000 0.000
4 In 0.500 0.500 0.500
5 Ta 0.000 0.000 0.000

Properties
ΔE to the lowest computed polymorph   0.0 meV per atom
Mass density   13.04 Mg/m³